# Mg6InAg

A relaxed structure of Mg6InAg (GGA-PBE, Alexandria via LeMat-Bulk).

VASP energy = -1.95 eV per atom
Space group = I4/mmm (139)
Formation energy = -0.06 eV per atom
Energy relative to the lowest polymorph listed for this composition = 36 meV per atom

Unit cell a=4.6295 b=4.6295 c=16.4011 alpha=90.00 beta=90.00 gamma=90.00
Closest atoms and distances in Å follow each position.
Atoms (fractional coordinates):
Mg: 0.0000 0.0000 0.2501  12 Mg 3.18-3.27
Mg: 0.0000 0.0000 0.7499  12 Mg 3.18-3.27
Mg: 0.0000 0.5000 0.1167  2 In 3.00, 2 Ag 3.00, 8 Mg 3.18-3.27
Mg: 0.0000 0.5000 0.3833  2 In 3.00, 2 Ag 3.00, 8 Mg 3.18-3.27
Mg: 0.0000 0.5000 0.6167  2 In 3.00, 2 Ag 3.00, 8 Mg 3.18-3.27
Mg: 0.0000 0.5000 0.8833  2 In 3.00, 2 Ag 3.00, 8 Mg 3.18-3.27
Mg: 0.5000 0.0000 0.1167  2 In 3.00, 2 Ag 3.00, 8 Mg 3.18-3.27
Mg: 0.5000 0.0000 0.3833  2 In 3.00, 2 Ag 3.00, 8 Mg 3.18-3.27
Mg: 0.5000 0.0000 0.6167  2 In 3.00, 2 Ag 3.00, 8 Mg 3.18-3.27
Mg: 0.5000 0.0000 0.8833  2 In 3.00, 2 Ag 3.00, 8 Mg 3.18-3.27
Mg: 0.5000 0.5000 0.2499  12 Mg 3.18-3.27
Mg: 0.5000 0.5000 0.7501  12 Mg 3.18-3.27
In: 0.0000 0.0000 0.0000  8 Mg 3.00, 4 Ag 3.27
In: 0.5000 0.5000 0.5000  8 Mg 3.00, 4 Ag 3.27
Ag: 0.0000 0.0000 0.5000  8 Mg 3.00, 4 In 3.27
Ag: 0.5000 0.5000 0.0000  8 Mg 3.00, 4 In 3.27